## w
A relaxed Pm6Nd2Zn crystal. Source: Alexandria, functional PBE-GGA.

Geometry as CIF:
```
data_Pm6Nd2Zn
_chemical_formula_sum 'Pm12 Nd4 Zn2'
_symmetry_space_group_name_H-M 'P n n m'
_symmetry_Int_Tables_number 58
_cell_length_a 10.013
_cell_length_b 10.474
_cell_length_c 5.560
_cell_angle_alpha 90.00
_cell_angle_beta 90.00
_cell_angle_gamma 90.00
loop_
_symmetry_equiv_pos_as_xyz
'x,y,z'
'-x,-y,-z'
'-x,-y,z'
'x,y,-z'
'x+1/2,-y+1/2,-z+1/2'
'-x+1/2,y+1/2,z+1/2'
'-x+1/2,y+1/2,-z+1/2'
'x+1/2,-y+1/2,z+1/2'
loop_
_atom_site_label
_atom_site_type_symbol
_atom_site_fract_x
_atom_site_fract_y
_atom_site_fract_z
Pm1 Pm 0.014 0.193 0.000
Pm2 Pm 0.135 0.603 0.500
Pm3 Pm 0.192 0.927 0.500
Nd1 Nd 0.187 0.251 0.500
Zn1 Zn 0.000 0.500 0.000
```

Output
DOS at the Fermi energy = 11.81 states/eV/f.u.

## x
A relaxed Pm6Nd2Zn crystal. Source: Alexandria, functional PBE-GGA.

Geometry as CIF:
```
data_Pm6Nd2Zn
_chemical_formula_sum 'Pm6 Nd2 Zn1'
_symmetry_space_group_name_H-M 'P -6 2 m'
_symmetry_Int_Tables_number 189
_symmetry_space_group_name_Hall 'P -6 -2'
_cell_length_a 9.5284
_cell_length_b 9.5284
_cell_length_c 3.7490
_cell_angle_alpha 90.00
_cell_angle_beta 90.00
_cell_angle_gamma 120.00
loop_
_atom_site_label
_atom_site_type_symbol
_atom_site_fract_x
_atom_site_fract_y
_atom_site_fract_z
Pm1 Pm 0.0000 0.3827 0.0000
Pm2 Pm 0.0000 0.7429 0.5000
Nd1 Nd 0.3333 0.6667 0.5000
Zn1 Zn 0.0000 0.0000 0.0000
```

Output
DOS at the Fermi energy = 11.36 states/eV/f.u.

Most stable structure - x; separation to the second - 54 meV per atom.

## w
A relaxed PmNdZn4 crystal. Source: Alexandria, functional PBE-GGA.

Geometry as CIF:
```
data_PmNdZn4
_chemical_formula_sum 'Pm2 Nd2 Zn8'
_symmetry_space_group_name_H-M 'I m m m'
_symmetry_Int_Tables_number 71
_symmetry_space_group_name_Hall '-I 2 2'
_cell_length_a 4.574
_cell_length_b 7.200
_cell_length_c 7.916
_cell_angle_alpha 90.00
_cell_angle_beta 90.00
_cell_angle_gamma 90.00
loop_
_atom_site_label
_atom_site_type_symbol
_atom_site_fract_x
_atom_site_fract_y
_atom_site_fract_z
Pm1 Pm 0.000 0.000 0.000
Nd1 Nd 0.000 0.500 0.000
Zn1 Zn 0.000 0.252 0.333
```

Output
DOS at the Fermi energy = 6.17 states/eV/f.u.

## x
A relaxed PmNdZn4 crystal. Source: Alexandria, functional PBE-GGA.

Geometry as CIF:
```
data_PmNdZn4
_chemical_formula_sum 'Pm4 Nd4 Zn16'
_symmetry_space_group_name_H-M 'F -4 3 m'
_symmetry_Int_Tables_number 216
_symmetry_space_group_name_Hall 'F -4 2 3'
_cell_length_a 7.874
_cell_length_b 7.874
_cell_length_c 7.874
_cell_angle_alpha 90.00
_cell_angle_beta 90.00
_cell_angle_gamma 90.00
loop_
_atom_site_label
_atom_site_type_symbol
_atom_site_fract_x
_atom_site_fract_y
_atom_site_fract_z
Pm1 Pm 0.000 0.000 0.000
Nd1 Nd 0.250 0.250 0.750
Zn1 Zn 0.125 0.125 0.375
```

Output
DOS at the Fermi energy = 2.34 states/eV/f.u.

Most stable structure - w; separation to the second - 21 meV per atom.

## w
A relaxed Pm2Nd2Zn crystal. Source: Alexandria, functional PBE-GGA.

Geometry as CIF:
```
data_Pm2Nd2Zn
_chemical_formula_sum 'Pm4 Nd4 Zn2'
_symmetry_space_group_name_H-M 'I 4/m m m'
_symmetry_Int_Tables_number 139
_symmetry_space_group_name_Hall '-I 4 2'
_cell_length_a 3.678
_cell_length_b 3.678
_cell_length_c 22.825
_cell_angle_alpha 90.00
_cell_angle_beta 90.00
_cell_angle_gamma 90.00
loop_
_atom_site_label
_atom_site_type_symbol
_atom_site_fract_x
_atom_site_fract_y
_atom_site_fract_z
Pm1 Pm 0.000 0.000 0.079
Nd1 Nd 0.000 0.000 0.306
Zn1 Zn 0.000 0.000 0.500
```

Output
DOS at the Fermi energy = 5.67 states/eV/f.u.

## x
A relaxed Pm2Nd2Zn crystal. Source: Alexandria, functional PBE-GGA.

Geometry as CIF:
```
data_Pm2Nd2Zn
_chemical_formula_sum 'Pm8 Nd8 Zn4'
_symmetry_space_group_name_H-M 'C 1 2/m 1'
_symmetry_Int_Tables_number 12
_cell_length_a 8.451
_cell_length_b 9.644
_cell_length_c 8.277
_cell_angle_alpha 90.00
_cell_angle_beta 114.73
_cell_angle_gamma 90.00
loop_
_symmetry_equiv_pos_as_xyz
'x,y,z'
'-x,-y,-z'
'-x,y,-z'
'x,-y,z'
'x+1/2,y+1/2,z'
'-x+1/2,-y+1/2,-z'
'-x+1/2,y+1/2,-z'
'x+1/2,-y+1/2,z'
loop_
_atom_site_label
_atom_site_type_symbol
_atom_site_fract_x
_atom_site_fract_y
_atom_site_fract_z
Pm1 Pm 0.075 0.191 0.234
Nd1 Nd 0.160 0.500 0.911
Nd2 Nd 0.223 0.000 0.623
Zn1 Zn 0.000 0.359 0.500
```

Output
DOS at the Fermi energy = 5.24 states/eV/f.u.

Most stable structure - w; separation to the second - 88 meV per atom.

## w
A relaxed Pm2Nd8Zn crystal. Source: Alexandria, functional PBE-GGA.

Geometry as CIF:
```
data_Pm2Nd8Zn
_chemical_formula_sum 'Pm4 Nd16 Zn2'
_symmetry_space_group_name_H-M 'C 1 2/m 1'
_symmetry_Int_Tables_number 12
_cell_length_a 19.511
_cell_length_b 5.730
_cell_length_c 6.587
_cell_angle_alpha 90.00
_cell_angle_beta 93.28
_cell_angle_gamma 90.00
loop_
_symmetry_equiv_pos_as_xyz
'x,y,z'
'-x,-y,-z'
'-x,y,-z'
'x,-y,z'
'x+1/2,y+1/2,z'
'-x+1/2,-y+1/2,-z'
'-x+1/2,y+1/2,-z'
'x+1/2,-y+1/2,z'
loop_
_atom_site_label
_atom_site_type_symbol
_atom_site_fract_x
_atom_site_fract_y
_atom_site_fract_z
Pm1 Pm 0.237 0.000 0.333
Nd1 Nd 0.039 0.000 0.252
Nd2 Nd 0.079 0.500 0.609
Nd3 Nd 0.155 0.000 0.808
Nd4 Nd 0.155 0.500 0.120
Zn1 Zn 0.000 0.500 0.000
```

Output
DOS at the Fermi energy = 13.76 states/eV/f.u.

## x
A relaxed Pm2Nd8Zn crystal. Source: Alexandria, functional PBE-GGA.

Geometry as CIF:
```
data_Pm2Nd8Zn
_chemical_formula_sum 'Pm4 Nd16 Zn2'
_symmetry_space_group_name_H-M 'C 1 2/m 1'
_symmetry_Int_Tables_number 12
_cell_length_a 18.086
_cell_length_b 5.704
_cell_length_c 7.594
_cell_angle_alpha 90.00
_cell_angle_beta 109.47
_cell_angle_gamma 90.00
loop_
_symmetry_equiv_pos_as_xyz
'x,y,z'
'-x,-y,-z'
'-x,y,-z'
'x,-y,z'
'x+1/2,y+1/2,z'
'-x+1/2,-y+1/2,-z'
'-x+1/2,y+1/2,-z'
'x+1/2,-y+1/2,z'
loop_
_atom_site_label
_atom_site_type_symbol
_atom_site_fract_x
_atom_site_fract_y
_atom_site_fract_z
Pm1 Pm 0.186 0.000 0.168
Nd1 Nd 0.012 0.000 0.275
Nd2 Nd 0.104 0.500 0.922
Nd3 Nd 0.156 0.500 0.433
Nd4 Nd 0.185 0.000 0.727
Zn1 Zn 0.000 0.500 0.500
```

Output
DOS at the Fermi energy = 16.67 states/eV/f.u.

Most stable structure - w; separation to the second - 63 meV per atom.

## w
A relaxed Pm4NdZn crystal. Source: Alexandria, functional PBE-GGA.

Geometry as CIF:
```
data_Pm4NdZn
_chemical_formula_sum 'Pm4 Nd1 Zn1'
_symmetry_space_group_name_H-M 'P 4/m m m'
_symmetry_Int_Tables_number 123
_symmetry_space_group_name_Hall '-P 4 2'
_cell_length_a 3.664
_cell_length_b 3.664
_cell_length_c 13.992
_cell_angle_alpha 90.00
_cell_angle_beta 90.00
_cell_angle_gamma 90.00
loop_
_atom_site_label
_atom_site_type_symbol
_atom_site_fract_x
_atom_site_fract_y
_atom_site_fract_z
Pm1 Pm 0.000 0.000 0.129
Pm2 Pm 0.500 0.500 0.315
Nd1 Nd 0.000 0.000 0.500
Zn1 Zn 0.500 0.500 0.000
```

Output
DOS at the Fermi energy = 7.31 states/eV/f.u.

## x
A relaxed Pm4NdZn crystal. Source: Alexandria, functional PBE-GGA.

Geometry as CIF:
```
data_Pm4NdZn
_chemical_formula_sum 'Pm4 Nd1 Zn1'
_symmetry_space_group_name_H-M 'P 1 m 1'
_symmetry_Int_Tables_number 6
_cell_length_a 3.674
_cell_length_b 5.138
_cell_length_c 10.156
_cell_angle_alpha 90.00
_cell_angle_beta 100.16
_cell_angle_gamma 90.00
loop_
_symmetry_equiv_pos_as_xyz
'x,y,z'
'x,-y,z'
loop_
_atom_site_label
_atom_site_type_symbol
_atom_site_fract_x
_atom_site_fract_y
_atom_site_fract_z
Pm1 Pm 0.000 0.000 0.000
Pm2 Pm 0.183 0.000 0.376
Pm3 Pm 0.424 0.500 0.811
Pm4 Pm 0.743 0.500 0.524
Nd1 Nd 0.583 0.500 0.174
Zn1 Zn 0.930 0.000 0.683
```

Output
DOS at the Fermi energy = 7.14 states/eV/f.u.

Most stable structure - w; separation to the second - 90 meV per atom.

## w
A relaxed Pm2Nd3Zn2 crystal. Source: Alexandria, functional PBE-GGA.

Geometry as CIF:
```
data_Pm2Nd3Zn2
_chemical_formula_sum 'Pm4 Nd6 Zn4'
_symmetry_space_group_name_H-M 'C m m m'
_symmetry_Int_Tables_number 65
_symmetry_space_group_name_Hall '-C 2 2'
_cell_length_a 3.706
_cell_length_b 30.881
_cell_length_c 3.646
_cell_angle_alpha 90.00
_cell_angle_beta 90.00
_cell_angle_gamma 90.00
loop_
_atom_site_label
_atom_site_type_symbol
_atom_site_fract_x
_atom_site_fract_y
_atom_site_fract_z
Pm1 Pm 0.000 0.201 0.000
Nd1 Nd 0.000 0.086 0.000
Nd2 Nd 0.000 0.500 0.500
Zn1 Zn 0.000 0.356 0.500
```

Output
DOS at the Fermi energy = 7.82 states/eV/f.u.

## x
A relaxed Pm2Nd3Zn2 crystal. Source: Alexandria, functional PBE-GGA.

Geometry as CIF:
```
data_Pm2Nd3Zn2
_chemical_formula_sum 'Pm4 Nd6 Zn4'
_symmetry_space_group_name_H-M 'C 1 2/m 1'
_symmetry_Int_Tables_number 12
_cell_length_a 13.015
_cell_length_b 3.790
_cell_length_c 9.476
_cell_angle_alpha 90.00
_cell_angle_beta 115.98
_cell_angle_gamma 90.00
loop_
_symmetry_equiv_pos_as_xyz
'x,y,z'
'-x,-y,-z'
'-x,y,-z'
'x,-y,z'
'x+1/2,y+1/2,z'
'-x+1/2,-y+1/2,-z'
'-x+1/2,y+1/2,-z'
'x+1/2,-y+1/2,z'
loop_
_atom_site_label
_atom_site_type_symbol
_atom_site_fract_x
_atom_site_fract_y
_atom_site_fract_z
Pm1 Pm 0.154 0.000 0.316
Nd1 Nd 0.000 0.500 0.500
Nd2 Nd 0.111 0.500 0.939
Zn1 Zn 0.176 0.000 0.728
```

Output
DOS at the Fermi energy = 8.70 states/eV/f.u.

Most stable structure - x; separation to the second - 9 meV per atom.